Entry 1:
Compound: Mn3CS
Source: Alexandria via LeMat-Bulk
Functional: PBE
Structure: relaxed

Properties
Total magnetic moment in μB/cell: 9.10
Formation energy (no corrections) in meV per atom: 219

Unit cell a=3.957 b=3.957 c=3.957 alpha=90.00 beta=90.00 gamma=90.00
Sites, in units of the cell vectors:
Mn (0.000, 0.000, 0.500)
Mn (0.000, 0.500, 0.000)
Mn (0.500, 0.000, 0.000)
C (0.000, 0.000, 0.000)
S (0.500, 0.500, 0.500)

=====

Entry 2:
Compound: Y2PdPb2
Source: Alexandria via LeMat-Bulk
Functional: PBE
Structure: relaxed

Properties
Total magnetic moment in μB/cell: 0.00
Energy of formation from the pure elements in eV per atom: -0.3281

Unit cell a=7.527 b=7.527 c=4.959 alpha=90.00 beta=90.00 gamma=90.00
Sites, in units of the cell vectors:
Y (0.164, 0.336, 0.000)
Y (0.336, 0.836, 0.000)
Y (0.664, 0.164, 0.000)
Y (0.836, 0.664, 0.000)
Pd (0.000, 0.000, 0.000)
Pd (0.500, 0.500, 0.000)
Pb (0.152, 0.652, 0.500)
Pb (0.348, 0.152, 0.500)
Pb (0.652, 0.848, 0.500)
Pb (0.848, 0.348, 0.500)

=====

Entry 3:
Compound: HfUB
Source: Alexandria via LeMat-Bulk
Functional: PBE
Structure: relaxed

Properties
Total magnetic moment in μB/cell: 0.00
Energy of formation from the pure elements in eV per atom: 0.4474

Unit cell a=7.892 b=7.892 c=7.892 alpha=158.76 beta=144.54 gamma=41.70
Sites, in units of the cell vectors:
Hf (0.186, 0.186, 0.000)
Hf (0.814, 0.814, 0.000)
U (0.249, 0.500, 0.749)
U (0.751, 0.500, 0.251)
B (0.346, 0.346, 0.000)
B (0.654, 0.654, 0.000)

=====

Entry 4:
Compound: Ce2MgAs4
Source: Alexandria via LeMat-Bulk
Functional: PBE
Structure: relaxed

Properties
Total magnetic moment in μB/cell: 1.26
Energy of formation from the pure elements in eV per atom: -0.9504

Unit cell a=3.976 b=3.976 c=10.606 alpha=90.00 beta=90.00 gamma=90.00
Sites, in units of the cell vectors:
Ce (0.000, 0.500, 0.221)
Ce (0.500, 0.000, 0.779)
Mg (0.000, 0.000, 0.500)
As (0.000, 0.000, 0.000)
As (0.000, 0.500, 0.673)
As (0.500, 0.000, 0.327)
As (0.500, 0.500, 0.000)

=====

Entry 5:
Compound: AcCe2Pr3S6
Source: Alexandria via LeMat-Bulk
Functional: PBE
Structure: relaxed

Properties
Total magnetic moment in μB/cell: 1.72
Formation energy (no corrections) in meV per atom: -2018

Unit cell a=7.132 b=7.132 c=7.138 alpha=99.63 beta=99.63 gamma=120.03
Sites, in units of the cell vectors:
Ac (0.000, 0.000, 0.000)
Ce (0.333, 0.667, 0.000)
Ce (0.667, 0.333, 0.000)
Pr (0.163, 0.837, 0.500)
Pr (0.500, 0.500, 0.500)
Pr (0.837, 0.163, 0.500)
S (0.084, 0.427, 0.251)
S (0.261, 0.261, 0.753)
S (0.427, 0.084, 0.251)
S (0.573, 0.916, 0.749)
S (0.739, 0.739, 0.247)
S (0.916, 0.573, 0.749)